1.
VASP calculation (GGA-PBE) on a geometry-optimized TiTc structure.

Cell lengths 5.0800, 5.0800, 5.1121 Å; angles 90.00, 90.00, 90.00 degrees
Element x y z (fractional)
Ti (0.2064, 0.2064, 0.0000)
Ti (0.2936, 0.7064, 0.5000)
Ti (0.7064, 0.2936, 0.5000)
Ti (0.7936, 0.7936, 0.0000)
Tc (0.1996, 0.1996, 0.5000)
Tc (0.3004, 0.6996, 0.0000)
Tc (0.6996, 0.3004, 0.0000)
Tc (0.8004, 0.8004, 0.5000)

Output
E, eV for the cell shown: -70.0
M_tot, μB per formula unit: 0.000
Space-group type: No. 136
Crystal system: tetragonal

=====

2.
VASP calculation (GGA-PBE) on a geometry-optimized TiTc structure.

Cell lengths 4.2497, 4.2497, 5.1049 Å; angles 90.00, 90.00, 120.00 degrees
Element x y z (fractional)
Ti (0.3333, 0.6667, 0.2500)
Ti (0.6667, 0.3333, 0.7500)
Tc (0.3333, 0.6667, 0.7500)
Tc (0.6667, 0.3333, 0.2500)

Output
E, eV for the cell shown: -32.9
M_tot, μB per formula unit: 0.000
Space-group type: No. 194
Crystal system: hexagonal

=====

3.
VASP calculation (GGA-PBE) on a geometry-optimized Ti4Tc structure.

Cell lengths 7.2426, 7.2426, 3.1212 Å; angles 90.00, 90.00, 90.00 degrees
Element x y z (fractional)
Ti (0.0883, 0.7197, 0.0000)
Ti (0.2197, 0.4117, 0.5000)
Ti (0.2803, 0.0883, 0.0000)
Ti (0.4117, 0.7803, 0.5000)
Ti (0.5883, 0.2197, 0.5000)
Ti (0.7197, 0.9117, 0.0000)
Ti (0.7803, 0.5883, 0.5000)
Ti (0.9117, 0.2803, 0.0000)
Tc (0.0000, 0.0000, 0.5000)
Tc (0.5000, 0.5000, 0.0000)

Output
E, eV for the cell shown: -86.3
M_tot, μB per formula unit: 0.000
Space-group type: No. 87
Crystal system: tetragonal

=====

4.
VASP calculation (GGA-PBE) on a geometry-optimized TiTc2 structure.

Cell lengths 5.1344, 5.1344, 5.1344 Å; angles 60.00, 60.00, 60.00 degrees
Element x y z (fractional)
Ti (0.1250, 0.1250, 0.1250)
Ti (0.8750, 0.8750, 0.8750)
Tc (0.0000, 0.5000, 0.5000)
Tc (0.5000, 0.0000, 0.5000)
Tc (0.5000, 0.5000, 0.0000)
Tc (0.5000, 0.5000, 0.5000)

Output
E, eV for the cell shown: -58.2
M_tot, μB per formula unit: 0.000
Space-group type: No. 227
Crystal system: cubic

=====

5.
VASP calculation (GGA-PBE) on a geometry-optimized TiTc structure.

Cell lengths 3.1048, 3.1048, 3.1048 Å; angles 90.00, 90.00, 90.00 degrees
Element x y z (fractional)
Ti (0.0000, 0.0000, 0.0000)
Tc (0.5000, 0.5000, 0.5000)

Output
E, eV for the cell shown: -19.2
M_tot, μB per formula unit: 0.000
Space-group type: No. 221
Crystal system: cubic

=====

6.
VASP calculation (GGA-PBE) on a geometry-optimized TiTc structure.

Cell lengths 5.1038, 5.2285, 9.2975 Å; angles 90.00, 90.00, 90.00 degrees
Element x y z (fractional)
Ti (0.1210, 0.0342, 0.2368)
Ti (0.1477, 0.3414, 0.5191)
Ti (0.3523, 0.6586, 0.0191)
Ti (0.3790, 0.9658, 0.7368)
Ti (0.6210, 0.4658, 0.7632)
Ti (0.6477, 0.1586, 0.4809)
Ti (0.8523, 0.8414, 0.9809)
Ti (0.8790, 0.5342, 0.2632)
Tc (0.1187, 0.5202, 0.7674)
Tc (0.1650, 0.8375, 0.4852)
Tc (0.3350, 0.1625, 0.9852)
Tc (0.3813, 0.4798, 0.2674)
Tc (0.6187, 0.9798, 0.2326)
Tc (0.6650, 0.6625, 0.5148)
Tc (0.8350, 0.3375, 0.0148)
Tc (0.8813, 0.0202, 0.7326)

Output
E, eV for the cell shown: -148.5
M_tot, μB per formula unit: 0.000
Space-group type: No. 19
Crystal system: orthorhombic